A.
## K2FeRe (PBE-GGA)

Data for an optimized crystal structure of K2FeRe.

The calculation puts the calculated density at 4.80 g cm⁻³. As for the total magnetization: 1.365 μB per formula unit.

abc: 3.2606 3.2606 10.4297
angles: 90.00 90.00 90.00
With the nearest neighbours (Å) after each atom.
Fractional coordinates of all 4 atoms:
K1 0.0000 0.0000 0.0000  4 K 3.26, 1 Re 3.35, 4 Fe 3.50
K2 0.5000 0.5000 0.4183  4 K 3.26, 1 Fe 3.43, 4 Re 3.56
Fe1 0.5000 0.5000 0.7474  4 Re 2.41
Re1 0.0000 0.0000 0.6790  4 Fe 2.41

***

B.
## K2FeRe (PBE-GGA)

Data for an optimized crystal structure of K2FeRe.

The calculation puts the calculated density at 3.06 g cm⁻³. As for the total magnetization: 4.160 μB per formula unit.

abc: 9.1049 9.1049 9.1049
angles: 93.44 93.44 151.65
With the nearest neighbours (Å) after each atom.
Fractional coordinates of all 8 atoms:
K1 0.3750 0.1890 0.3140  2 Fe 3.27, 2 Re 3.63
K2 0.8110 0.1250 0.1860  2 Fe 3.27, 2 Re 3.63
K3 0.8750 0.0610 0.6860  2 Fe 3.27, 2 Re 3.63
K4 0.9390 0.6250 0.8140  2 Fe 3.27, 2 Re 3.63
Fe1 0.0000 0.0000 0.0000  2 Re 2.23
Fe2 0.7500 0.2500 0.5000  2 Re 2.23
Re1 0.2500 0.7500 0.5000  2 Fe 2.23
Re2 0.5000 0.5000 0.0000  2 Fe 2.23

***

C.
## K2FeRe (PBE-GGA)

Data for an optimized crystal structure of K2FeRe.

The calculation puts the calculated density at 6.17 g cm⁻³. As for the total magnetization: 2.582 μB per formula unit.

abc: 2.7149 2.7149 11.6859
angles: 90.00 90.00 90.00
With the nearest neighbours (Å) after each atom.
Fractional coordinates of all 4 atoms:
K1 0.0000 0.0000 0.2458  4 K 2.71
K2 0.0000 0.0000 0.7542  4 K 2.71
Fe1 0.5000 0.5000 0.5000  4 Fe 2.71
Re1 0.5000 0.5000 0.0000  4 Re 2.71

***

The most stable of them is A.

***

A.
## K2FeRe (PBE-GGA)

Data for an optimized crystal structure of K2FeRe.

The calculation puts the calculated density at 5.95 g cm⁻³. As for the total magnetization: 2.174 μB per formula unit.

abc: 5.0191 5.0191 5.0191
angles: 60.00 60.00 60.00
With the nearest neighbours (Å) after each atom.
Fractional coordinates of all 4 atoms:
K1 0.0000 0.0000 0.0000  4 Re 3.07, 4 K 3.07
K2 0.2500 0.2500 0.2500  4 Fe 3.07, 4 K 3.07
Fe1 0.5000 0.5000 0.5000  4 Re 3.07, 4 K 3.07
Re1 0.7500 0.7500 0.7500  4 K 3.07, 4 Fe 3.07

***

B.
## K2FeRe (PBE-GGA)

Data for an optimized crystal structure of K2FeRe.

The calculation puts the calculated density at 6.46 g cm⁻³. As for the total magnetization: 1.028 μB per formula unit.

abc: 3.7751 3.7751 5.7760
angles: 90.00 90.00 90.00
With the nearest neighbours (Å) after each atom.
Fractional coordinates of all 4 atoms:
K1 0.0000 0.5000 0.0000  4 K 2.67
K2 0.5000 0.0000 0.0000  4 K 2.67
Fe1 0.0000 0.0000 0.5000  4 Re 2.67
Re1 0.5000 0.5000 0.5000  4 Fe 2.67

***

The most stable of them is B.

***

A.
## K2FeRe (PBE-GGA)

Data for an optimized crystal structure of K2FeRe.

The calculation puts the calculated density at 4.35 g cm⁻³. As for the total magnetization: 7.001 μB per formula unit.

abc: 5.5706 5.5706 5.5706
angles: 60.00 60.00 60.00
With the nearest neighbours (Å) after each atom.
Fractional coordinates of all 4 atoms:
K1 0.2500 0.2500 0.2500  4 Fe 3.41, 4 Re 3.41
K2 0.7500 0.7500 0.7500  4 Re 3.41, 4 Fe 3.41
Fe1 0.0000 0.0000 0.0000  8 K 3.41
Re1 0.5000 0.5000 0.5000  8 K 3.41

***

B.
## K2FeRe (PBE-GGA)

Data for an optimized crystal structure of K2FeRe.

The calculation puts the calculated density at 6.50 g cm⁻³. As for the total magnetization: 2.262 μB per formula unit.

abc: 6.5177 6.5177 2.7086
angles: 99.62 99.62 129.44
With the nearest neighbours (Å) after each atom.
Fractional coordinates of all 4 atoms:
K1 0.0000 0.5000 0.0000  6 K 2.71-3.03
K2 0.5000 0.0000 0.0000  6 K 2.71-3.03
Fe1 0.0000 0.0000 0.5000  2 Fe 2.71, 4 Re 2.78-3.03
Re1 0.5000 0.5000 0.5000  2 Re 2.71, 4 Fe 2.78-3.03

***

The most stable of them is B.

***

A.
## KFe2Re (PBE-GGA)

Data for an optimized crystal structure of KFe2Re.

The calculation puts the calculated density at 9.40 g cm⁻³. As for the total magnetization: 0.000 μB per formula unit.

abc: 4.3826 4.3826 4.3826
angles: 60.00 60.00 60.00
With the nearest neighbours (Å) after each atom.
Fractional coordinates of all 4 atoms:
K1 0.0000 0.0000 0.0000  8 Fe 2.68
Fe1 0.2500 0.2500 0.2500  4 Re 2.68, 4 K 2.68
Fe2 0.7500 0.7500 0.7500  4 K 2.68, 4 Re 2.68
Re1 0.5000 0.5000 0.5000  8 Fe 2.68

***

B.
## KFe2Re (PBE-GGA)

Data for an optimized crystal structure of KFe2Re.

The calculation puts the calculated density at 8.31 g cm⁻³. As for the total magnetization: 4.557 μB per formula unit.

abc: 2.6954 2.6954 9.8255
angles: 90.00 90.00 109.44
With the nearest neighbours (Å) after each atom.
Fractional coordinates of all 4 atoms:
K1 0.0000 0.0000 0.0000  4 K 2.70
Fe1 0.5000 0.5000 0.2976  2 Re 2.53, 4 Fe 2.70
Fe2 0.5000 0.5000 0.7024  2 Re 2.53, 4 Fe 2.70
Re1 0.0000 0.0000 0.5000  4 Fe 2.53, 4 Re 2.70

***

C.
## KFe2Re (PBE-GGA)

Data for an optimized crystal structure of KFe2Re.

The calculation puts the calculated density at 9.04 g cm⁻³. As for the total magnetization: 3.779 μB per formula unit.

abc: 4.4395 4.4395 4.4395
angles: 60.00 60.00 60.00
With the nearest neighbours (Å) after each atom.
Fractional coordinates of all 4 atoms:
K1 0.0000 0.0000 0.0000  4 Fe 2.72, 4 Re 2.72
Fe1 0.5000 0.5000 0.5000  4 Fe 2.72, 4 Re 2.72
Fe2 0.7500 0.7500 0.7500  4 Fe 2.72, 4 K 2.72
Re1 0.2500 0.2500 0.2500  4 Fe 2.72, 4 K 2.72

***

D.
## KFe2Re (PBE-GGA)

Data for an optimized crystal structure of KFe2Re.

The calculation puts the calculated density at 7.27 g cm⁻³. As for the total magnetization: 0.000 μB per formula unit.

abc: 5.8638 5.8638 5.8638
angles: 106.64 106.64 115.30
With the nearest neighbours (Å) after each atom.
Fractional coordinates of all 8 atoms:
K1 0.0000 0.0000 0.0000  8 Fe 2.97-3.18, 2 Re 3.14
K2 0.7500 0.2500 0.5000  8 Fe 2.97-3.18, 2 Re 3.14
Fe1 0.1990 0.6250 0.0740  2 Re 2.28
Fe2 0.3750 0.4490 0.5740  2 Re 2.28
Fe3 0.5510 0.1250 0.9260  2 Re 2.28
Fe4 0.8750 0.8010 0.4260  2 Re 2.28
Re1 0.2500 0.7500 0.5000  4 Fe 2.28
Re2 0.5000 0.5000 0.0000  4 Fe 2.28

***

The most stable of them is B.

***

A.
## KScFeRe2 (PBE-GGA)

Data for an optimized crystal structure of KScFeRe2.

The calculation puts the calculated density at 7.15 g cm⁻³. As for the total magnetization: 6.480 μB per formula unit.

abc: 4.8883 4.8883 4.9807
angles: 90.00 90.00 90.00
With the nearest neighbours (Å) after each atom.
Fractional coordinates of all 5 atoms:
K1 0.0000 0.0000 0.0000  4 Fe 3.46, 8 Re 3.49
Sc1 0.5000 0.5000 0.5000  4 Re 2.44, 2 Fe 2.49
Fe1 0.5000 0.5000 0.0000  2 Sc 2.49
Re1 0.0000 0.5000 0.5000  2 Sc 2.44
Re2 0.5000 0.0000 0.5000  2 Sc 2.44

***

B.
## KScFeRe2 (PBE-GGA)

Data for an optimized crystal structure of KScFeRe2.

The calculation puts the calculated density at 8.24 g cm⁻³. As for the total magnetization: 0.913 μB per formula unit.

abc: 4.5579 4.5579 4.9684
angles: 90.00 90.00 90.00
With the nearest neighbours (Å) after each atom.
Fractional coordinates of all 5 atoms:
K1 0.0000 0.0000 0.0000  4 Sc 3.22, 8 Re 3.37
Sc1 0.5000 0.5000 0.0000  2 Fe 2.48
Fe1 0.5000 0.5000 0.5000  4 Re 2.28, 2 Sc 2.48
Re1 0.0000 0.5000 0.5000  2 Fe 2.28
Re2 0.5000 0.0000 0.5000  2 Fe 2.28

***

The most stable of them is B.